1.
Below is YCu2PbI after structural relaxation, with properties calculated at the PBE level.

theoretical density	6.1	Mg/m³
space-group type	P4/mmm
energy	-3.319	eV/atom

Cell: 4.936 4.936 6.169 Å, 90.00 90.00 90.00°
Fractional coordinates of all 5 atoms:
1 Y 0.000 0.000 0.000
2 Cu 0.000 0.500 0.500
3 Cu 0.500 0.000 0.500
4 Pb 0.500 0.500 0.000
5 I 0.500 0.500 0.500

2.
Below is ZnCuPb2I after structural relaxation, with properties calculated at the PBE level.

theoretical density	5.7	Mg/m³
space-group type	P4/mmm
energy	-1.823	eV/atom

Cell: 6.090 6.090 5.261 Å, 90.00 90.00 90.00°
Fractional coordinates of all 5 atoms:
1 Zn 0.000 0.000 0.000
2 Cu 0.500 0.500 0.000
3 Pb 0.000 0.500 0.500
4 Pb 0.500 0.000 0.500
5 I 0.000 0.000 0.500

3.
Below is Cu3PdI after structural relaxation, with properties calculated at the PBE level.

theoretical density	6.5	Mg/m³
space-group type	Pm-3m
offset from the most stable computed form	0.000	eV/f.u.

Cell: 4.761 4.761 4.761 Å, 90.00 90.00 90.00°
Fractional coordinates of all 5 atoms:
1 Cu 0.000 0.000 0.500
2 Cu 0.000 0.500 0.000
3 Cu 0.500 0.000 0.000
4 Pd 0.000 0.000 0.000
5 I 0.500 0.500 0.500

4.
Below is Cu3PdI8 after structural relaxation, with properties calculated at the PBE level.

theoretical density	5.9	Mg/m³
space-group type	R-3m
energy	-2.548	eV/atom

Cell: 8.105 8.105 8.105 Å, 58.83 58.83 58.83°
Fractional coordinates of all 12 atoms:
1 Cu 0.000 0.500 0.500
2 Cu 0.500 0.000 0.500
3 Cu 0.500 0.500 0.000
4 Pd 0.500 0.500 0.500
5 I 0.255 0.255 0.745
6 I 0.255 0.745 0.255
7 I 0.255 0.745 0.745
8 I 0.260 0.260 0.260
9 I 0.740 0.740 0.740
10 I 0.745 0.255 0.255
11 I 0.745 0.255 0.745
12 I 0.745 0.745 0.255

5.
Below is CuPdI2 after structural relaxation, with properties calculated at the PBE level.

theoretical density	6.1	Mg/m³
space-group type	P-4m2
offset from the most stable computed form	0.000	eV/f.u.

Cell: 4.079 4.079 6.880 Å, 90.00 90.00 90.00°
Fractional coordinates of all 4 atoms:
1 Cu 0.000 0.000 0.000
2 Pd 0.500 0.500 0.000
3 I 0.000 0.500 0.263
4 I 0.500 0.000 0.737

6.
Below is Cu3PdI9 after structural relaxation, with properties calculated at the PBE level.

theoretical density	4.5	Mg/m³
space-group type	C222_1
energy	-2.446	eV/atom

Cell: 9.248 9.248 12.450 Å, 90.00 90.00 90.39°
Fractional coordinates of all 26 atoms:
1 Cu 0.179 0.818 0.937
2 Cu 0.182 0.821 0.563
3 Cu 0.254 0.254 0.500
4 Cu 0.746 0.746 0.000
5 Cu 0.818 0.179 0.063
6 Cu 0.821 0.182 0.437
7 Pd 0.294 0.294 0.000
8 Pd 0.706 0.706 0.500
9 I 0.003 0.692 0.077
10 I 0.018 0.291 0.943
11 I 0.105 0.895 0.750
12 I 0.291 0.018 0.057
13 I 0.303 0.305 0.693
14 I 0.305 0.303 0.307
15 I 0.308 0.997 0.423
16 I 0.319 0.584 0.999
17 I 0.416 0.681 0.501
18 I 0.584 0.319 0.001
19 I 0.681 0.416 0.499
20 I 0.692 0.003 0.923
21 I 0.695 0.697 0.807
22 I 0.697 0.695 0.193
23 I 0.709 0.982 0.557
24 I 0.895 0.105 0.250
25 I 0.982 0.709 0.443
26 I 0.997 0.308 0.577

7.
Below is CuPdI3 after structural relaxation, with properties calculated at the PBE level.

theoretical density	5.3	Mg/m³
space-group type	C2/m
offset from the most stable computed form	0.000	eV/f.u.

Cell: 7.499 7.499 8.202 Å, 118.44 118.44 64.33°
Fractional coordinates of all 10 atoms:
1 Cu 0.112 0.112 0.465
2 Cu 0.888 0.888 0.535
3 Pd 0.247 0.753 0.000
4 Pd 0.753 0.247 0.000
5 I 0.165 0.165 0.203
6 I 0.255 0.745 0.500
7 I 0.335 0.335 0.831
8 I 0.665 0.665 0.169
9 I 0.745 0.255 0.500
10 I 0.835 0.835 0.797

8.
Below is CuPdI5 after structural relaxation, with properties calculated at the PBE level.

theoretical density	5.3	Mg/m³
space-group type	P-1
energy	-2.529	eV/atom

Cell: 6.965 7.459 10.684 Å, 69.81 74.74 85.16°
Fractional coordinates of all 14 atoms:
1 Cu 0.069 0.488 0.275
2 Cu 0.931 0.512 0.725
3 Pd 0.000 0.000 0.000
4 Pd 0.500 0.500 0.500
5 I 0.118 0.187 0.150
6 I 0.182 0.726 0.495
7 I 0.225 0.264 0.758
8 I 0.287 0.742 0.051
9 I 0.385 0.313 0.354
10 I 0.615 0.687 0.646
11 I 0.713 0.258 0.949
12 I 0.775 0.736 0.242
13 I 0.818 0.274 0.505
14 I 0.882 0.813 0.850

Number 1: DOS at the Fermi energy 1.39 states/eV/f.u.. Number 2: DOS at the Fermi energy 4.69 states/eV/f.u.. Number 3: DOS at the Fermi energy 0.00 states/eV/f.u.. Number 4: DOS at the Fermi energy 18.27 states/eV/f.u.. Number 5: DOS at the Fermi energy 3.94 states/eV/f.u.. Number 6: DOS at the Fermi energy 4.62 states/eV/f.u.. Number 7: DOS at the Fermi energy 0.91 states/eV/f.u.. Number 8: DOS at the Fermi energy 3.94 states/eV/f.u..